Below is a relaxed structure of Dy4ErTe5, with properties calculated at the PBE level.

```
data_Dy4ErTe5
_space_group_name_H-M_alt 'I 4/m m m'
_space_group_IT_number 139
_space_group_name_Hall '-I 4 2'
_cell_length_a 4.280
_cell_length_b 4.280
_cell_length_c 31.867
_cell_angle_alpha 90.00
_cell_angle_beta 90.00
_cell_angle_gamma 90.00
loop_
_atom_site_label
_atom_site_type_symbol
_atom_site_fract_x
_atom_site_fract_y
_atom_site_fract_z
_atom_site_occupancy
Dy1 Dy 0.000 0.000 0.110 1
Dy2 Dy 0.000 0.000 0.312 1
Er1 Er 0.000 0.000 0.500 1
Te1 Te 0.000 0.000 0.000 1
Te2 Te 0.000 0.000 0.208 1
Te3 Te 0.000 0.000 0.406 1
```

Uncorrected formation energy, eV per atom: -1.268
Spin magnetization, μB/cell: 0.0
Density of states at the Fermi level, states/eV per cell: 8.50
V, Å³/atom: 29.2
Energy above the most stable polymorph in this dataset, eV per atom: 0.000